## La5Ni (GGA-PBE)

Data for crystalline La5Ni at its relaxed geometry.

Cell lengths 6.4272, 6.4272, 5.1205 Å; angles 90.00, 90.00, 120.00 degrees
Closest atoms and distances in Å follow each position.
Fractional coordinates of all 6 atoms:
1 La 0.2851 0.2851 0.0000  2 Ni 3.15, 6 La 3.17-3.45
2 La 0.7149 0.0000 0.0000  2 Ni 3.15, 6 La 3.17-3.45
3 La 0.0000 0.7149 0.0000  2 Ni 3.15, 6 La 3.17-3.45
4 La 0.3333 0.6667 0.5000  9 La 3.45-3.71, 3 Ni 3.71
5 La 0.6667 0.3333 0.5000  9 La 3.45-3.71, 3 Ni 3.71
6 Ni 0.0000 0.0000 0.5000  6 La 3.15

Values from the calculation:
Space group ... P-62m, No. 189
Energy ... -29.77 eV for the cell shown
Energy relative to the elements ... 62.2 kJ/mol of formula units
Energy above the lowest structure with this stoichiometry ... 0.173 eV per atom